Here is a geometry-optimized Lu3CuO structure from Alexandria. Energies are from PBE.

Computed properties:
The energy relative to the elements, uncorrected is -1148.6 meV/atom. Its density of states at the Fermi level is 4.988 states/eV/f.u.

Cell and atoms, written as CIF:
```
data_Lu3CuO
_chemical_formula_sum 'Lu3 Cu1 O1'
_symmetry_space_group_name_H-M 'P m -3 m'
_symmetry_Int_Tables_number 221
_symmetry_space_group_name_Hall '-P 4 2 3'
_cell_length_a 4.567
_cell_length_b 4.567
_cell_length_c 4.567
_cell_angle_alpha 90.00
_cell_angle_beta 90.00
_cell_angle_gamma 90.00
loop_
_atom_site_label
_atom_site_fract_x
_atom_site_fract_y
_atom_site_fract_z
_atom_site_occupancy
Lu1 0.000 0.000 0.500 1
Cu1 0.500 0.500 0.500 1
O1 0.000 0.000 0.000 1
```



Here is a geometry-optimized CeDyTlBi structure from Alexandria. Energies are from PBE.

Computed properties:
Its formation energy is -0.394 eV per atom. Its density of states at the Fermi level is 9.170 states/eV/f.u.

Cell and atoms, written as CIF:
```
data_CeDyTlBi
_chemical_formula_sum 'Ce4 Dy4 Tl4 Bi4'
_symmetry_space_group_name_H-M 'F -4 3 m'
_symmetry_Int_Tables_number 216
_symmetry_space_group_name_Hall 'F -4 2 3'
_cell_length_a 7.761
_cell_length_b 7.761
_cell_length_c 7.761
_cell_angle_alpha 90.00
_cell_angle_beta 90.00
_cell_angle_gamma 90.00
loop_
_atom_site_label
_atom_site_fract_x
_atom_site_fract_y
_atom_site_fract_z
_atom_site_occupancy
Ce1 0.000 0.000 0.000 1
Dy1 0.000 0.000 0.500 1
Tl1 0.250 0.250 0.250 1
Bi1 0.250 0.250 0.750 1
```



Here is a geometry-optimized Tb13Er3 structure from Alexandria. Energies are from PBE.

Computed properties:
Its formation energy is 0.011 eV per atom. Its density of states at the Fermi level is 28.386 states/eV/f.u.

Cell and atoms, written as CIF:
```
data_Tb13Er3
_chemical_formula_sum 'Tb26 Er6'
_symmetry_space_group_name_H-M 'A m m 2'
_symmetry_Int_Tables_number 38
_cell_length_a 7.252
_cell_length_b 11.258
_cell_length_c 12.531
_cell_angle_alpha 90.00
_cell_angle_beta 90.00
_cell_angle_gamma 90.00
loop_
_symmetry_equiv_pos_as_xyz
'x,y,z'
'-x,-y,z'
'-x,y,z'
'x,-y,z'
'x,y+1/2,z+1/2'
'-x,-y+1/2,z+1/2'
'-x,y+1/2,z+1/2'
'x,-y+1/2,z+1/2'
loop_
_atom_site_label
_atom_site_fract_x
_atom_site_fract_y
_atom_site_fract_z
_atom_site_occupancy
Tb1 0.000 0.000 0.000 1
Tb2 0.000 0.000 0.499 1
Tb3 0.000 0.249 0.167 1
Tb4 0.250 0.000 0.749 1
Tb5 0.250 0.249 0.416 1
Tb6 0.500 0.000 0.000 1
Tb7 0.500 0.250 0.166 1
Er1 0.250 0.000 0.250 1
Er2 0.500 0.000 0.499 1
```



Here is a geometry-optimized Ti12Sb6Rh structure from Alexandria. Energies are from PBE.

Computed properties:
The energy relative to the elements, uncorrected is -304.8 meV/atom. Its density of states at the Fermi level is 22.022 states/eV/f.u.

Cell and atoms, written as CIF:
```
data_Ti12Sb6Rh
_chemical_formula_sum 'Ti36 Sb18 Rh3'
_symmetry_space_group_name_H-M 'R -3'
_symmetry_Int_Tables_number 148
_symmetry_space_group_name_Hall '-R 3'
_cell_length_a 12.8745
_cell_length_b 12.8745
_cell_length_c 7.3080
_cell_angle_alpha 90.00
_cell_angle_beta 90.00
_cell_angle_gamma 120.00
loop_
_atom_site_label
_atom_site_fract_x
_atom_site_fract_y
_atom_site_fract_z
_atom_site_occupancy
Ti1 0.0078 0.8746 0.1807 1
Ti2 0.0662 0.4956 0.1702 1
Sb1 0.0192 0.7592 0.8466 1
Rh1 0.0000 0.0000 0.5000 1
```



Here is a geometry-optimized AcAl2Pd structure from Alexandria. Energies are from PBE.

Computed properties:
Its formation energy is -0.665 eV per atom. Its density of states at the Fermi level is 3.433 states/eV/f.u.

Cell and atoms, written as CIF:
```
data_AcAl2Pd
_chemical_formula_sum 'Ac3 Al6 Pd3'
_symmetry_space_group_name_H-M 'R -3 m'
_symmetry_Int_Tables_number 166
_symmetry_space_group_name_Hall '-R 3 2"'
_cell_length_a 4.3400
_cell_length_b 4.3400
_cell_length_c 17.3440
_cell_angle_alpha 90.00
_cell_angle_beta 90.00
_cell_angle_gamma 120.00
loop_
_atom_site_label
_atom_site_fract_x
_atom_site_fract_y
_atom_site_fract_z
_atom_site_occupancy
Ac1 0.0000 0.0000 0.0000 1
Al1 0.0000 0.0000 0.2025 1
Pd1 0.0000 0.0000 0.5000 1
```



Here is a geometry-optimized RbCd3Pb2 structure from Alexandria. Energies are from PBE.

Computed properties:
Its formation energy is -0.012 eV per atom. Its density of states at the Fermi level is 2.533 states/eV/f.u.

Cell and atoms, written as CIF:
```
data_RbCd3Pb2
_chemical_formula_sum 'Rb4 Cd12 Pb8'
_symmetry_space_group_name_H-M 'C 1 2/m 1'
_symmetry_Int_Tables_number 12
_cell_length_a 18.538
_cell_length_b 5.231
_cell_length_c 9.030
_cell_angle_alpha 90.00
_cell_angle_beta 119.12
_cell_angle_gamma 90.00
loop_
_symmetry_equiv_pos_as_xyz
'x,y,z'
'-x,-y,-z'
'-x,y,-z'
'x,-y,z'
'x+1/2,y+1/2,z'
'-x+1/2,-y+1/2,-z'
'-x+1/2,y+1/2,-z'
'x+1/2,-y+1/2,z'
loop_
_atom_site_label
_atom_site_fract_x
_atom_site_fract_y
_atom_site_fract_z
_atom_site_occupancy
Rb1 0.135 0.000 0.135 1
Cd1 0.000 0.000 0.341 1
Cd2 0.178 0.500 0.475 1
Cd3 0.178 0.500 0.880 1
Pb1 0.000 0.500 0.176 1
Pb2 0.176 0.000 0.676 1
```



Here is a geometry-optimized Ho4CS2O structure from Alexandria. Energies are from PBE.

Computed properties:
The energy relative to the elements, uncorrected is -1874.6 meV/atom. Its density of states at the Fermi level is 2.219 states/eV/f.u.

Cell and atoms, written as CIF:
```
data_Ho4CS2O
_chemical_formula_sum 'Ho4 C1 S2 O1'
_symmetry_space_group_name_H-M 'P 1 2/m 1'
_symmetry_Int_Tables_number 10
_cell_length_a 6.287
_cell_length_b 3.657
_cell_length_c 6.562
_cell_angle_alpha 90.00
_cell_angle_beta 108.73
_cell_angle_gamma 90.00
loop_
_symmetry_equiv_pos_as_xyz
'x,y,z'
'-x,-y,-z'
'-x,y,-z'
'x,-y,z'
loop_
_atom_site_label
_atom_site_fract_x
_atom_site_fract_y
_atom_site_fract_z
_atom_site_occupancy
Ho1 0.234 0.000 0.212 1
Ho2 0.253 0.500 0.785 1
C1 0.000 0.500 0.000 1
S1 0.000 0.000 0.500 1
S2 0.500 0.500 0.500 1
O1 0.500 0.000 0.000 1
```



Here is a geometry-optimized BRu2Cl structure from Alexandria. Energies are from PBE.

Computed properties:
The energy relative to the elements, uncorrected is 522.9 meV/atom. Its density of states at the Fermi level is 2.504 states/eV/f.u.

Cell and atoms, written as CIF:
```
data_BRu2Cl
_chemical_formula_sum 'B4 Ru8 Cl4'
_symmetry_space_group_name_H-M 'I -4 2 d'
_symmetry_Int_Tables_number 122
_symmetry_space_group_name_Hall 'I -4 2bw'
_cell_length_a 5.013
_cell_length_b 5.013
_cell_length_c 9.886
_cell_angle_alpha 90.00
_cell_angle_beta 90.00
_cell_angle_gamma 90.00
loop_
_atom_site_label
_atom_site_fract_x
_atom_site_fract_y
_atom_site_fract_z
_atom_site_occupancy
B1 0.000 0.000 0.000 1
Ru1 0.198 0.250 0.125 1
Cl1 0.000 0.000 0.500 1
```



Here is a geometry-optimized ScAsCl3 structure from Alexandria. Energies are from PBE.

Computed properties:
The energy relative to the elements, uncorrected is -935.7 meV/atom. Its density of states at the Fermi level is 1.380 states/eV/f.u.

Cell and atoms, written as CIF:
```
data_ScAsCl3
_chemical_formula_sum 'Sc1 As1 Cl3'
_symmetry_space_group_name_H-M 'P m -3 m'
_symmetry_Int_Tables_number 221
_symmetry_space_group_name_Hall '-P 4 2 3'
_cell_length_a 5.080
_cell_length_b 5.080
_cell_length_c 5.080
_cell_angle_alpha 90.00
_cell_angle_beta 90.00
_cell_angle_gamma 90.00
loop_
_atom_site_label
_atom_site_fract_x
_atom_site_fract_y
_atom_site_fract_z
_atom_site_occupancy
Sc1 0.000 0.000 0.000 1
As1 0.500 0.500 0.500 1
Cl1 0.000 0.000 0.500 1
```



Here is a geometry-optimized Hg3Pd4Au structure from Alexandria. Energies are from PBE.

Computed properties:
Its formation energy is -0.021 eV per atom. Its density of states at the Fermi level is 3.515 states/eV/f.u.

Cell and atoms, written as CIF:
```
data_Hg3Pd4Au
_chemical_formula_sum 'Hg6 Pd8 Au2'
_symmetry_space_group_name_H-M 'I m m 2'
_symmetry_Int_Tables_number 44
_cell_length_a 5.588
_cell_length_b 9.698
_cell_length_c 5.492
_cell_angle_alpha 90.00
_cell_angle_beta 90.00
_cell_angle_gamma 90.00
loop_
_symmetry_equiv_pos_as_xyz
'x,y,z'
'-x,-y,z'
'-x,y,z'
'x,-y,z'
'x+1/2,y+1/2,z+1/2'
'-x+1/2,-y+1/2,z+1/2'
'-x+1/2,y+1/2,z+1/2'
'x+1/2,-y+1/2,z+1/2'
loop_
_atom_site_label
_atom_site_fract_x
_atom_site_fract_y
_atom_site_fract_z
_atom_site_occupancy
Hg1 0.000 0.000 0.000 1
Hg2 0.000 0.242 0.678 1
Pd1 0.000 0.263 0.177 1
Pd2 0.246 0.500 0.956 1
Au1 0.000 0.500 0.441 1
```



Here is a geometry-optimized Sm2Ga3CuRh4 structure from Alexandria. Energies are from PBE.

Computed properties:
Its formation energy is -0.699 eV per atom. Its density of states at the Fermi level is 4.941 states/eV/f.u.

Cell and atoms, written as CIF:
```
data_Sm2Ga3CuRh4
_chemical_formula_sum 'Sm2 Ga3 Cu1 Rh4'
_symmetry_space_group_name_H-M 'P -4 m 2'
_symmetry_Int_Tables_number 115
_cell_length_a 4.220
_cell_length_b 4.220
_cell_length_c 10.262
_cell_angle_alpha 90.00
_cell_angle_beta 90.00
_cell_angle_gamma 90.00
loop_
_symmetry_equiv_pos_as_xyz
'x,y,z'
'y,-x,-z'
'-x,-y,z'
'-y,x,-z'
'-x,y,z'
'-y,-x,-z'
'x,-y,z'
'y,x,-z'
loop_
_atom_site_label
_atom_site_fract_x
_atom_site_fract_y
_atom_site_fract_z
_atom_site_occupancy
Sm1 0.000 0.500 0.247 1
Ga1 0.000 0.500 0.873 1
Ga2 0.500 0.500 0.500 1
Cu1 0.000 0.000 0.500 1
Rh1 0.000 0.000 0.000 1
Rh2 0.000 0.500 0.634 1
Rh3 0.500 0.500 0.000 1
```



Here is a geometry-optimized ZrCrBr2 structure from Alexandria. Energies are from PBE.

Computed properties:
The energy relative to the elements, uncorrected is 206.7 meV/atom. Its density of states at the Fermi level is 8.026 states/eV/f.u.

Cell and atoms, written as CIF:
```
data_ZrCrBr2
_chemical_formula_sum 'Zr3 Cr3 Br6'
_symmetry_space_group_name_H-M 'R -3 m'
_symmetry_Int_Tables_number 166
_symmetry_space_group_name_Hall '-R 3 2"'
_cell_length_a 3.2878
_cell_length_b 3.2878
_cell_length_c 26.6295
_cell_angle_alpha 90.00
_cell_angle_beta 90.00
_cell_angle_gamma 120.00
loop_
_atom_site_label
_atom_site_fract_x
_atom_site_fract_y
_atom_site_fract_z
_atom_site_occupancy
Zr1 0.0000 0.0000 0.0000 1
Cr1 0.0000 0.0000 0.5000 1
Br1 0.0000 0.0000 0.4095 1
```